# 1
{"formula": "CdTe2I", "functional": "GGA-PBE", "state": "optimized geometry", "cell": [[-0.1528, -5.3148, 1.3548], [-0.7955, -1.4778, 5.2239], [-4.7428, -2.3123, 1.5053]], "species": ["Te", "Cd", "I", "Te"], "frac_coords": [[0.2500, 0.2500, 0.2500], [0.0000, 0.0000, 0.0000], [0.5000, 0.5000, 0.5000], [0.7500, 0.7500, 0.7500]], "final_energy_ev_per_atom": -1.85, "e_form_raw_ev_per_atom": 0.339}



# 2
{"formula": "CdTeI", "functional": "GGA-PBE", "state": "optimized geometry", "cell": [[4.3657, 0.0000, 0.0000], [2.1829, 6.9002, -2.2717], [2.1829, -0.7121, 7.6874]], "species": ["Cd", "I", "Te", "I", "Cd", "Te"], "frac_coords": [[0.8351, 0.1570, 0.1729], [0.8378, 0.5439, 0.7805], [0.3532, 0.8532, 0.4404], [0.1622, 0.4561, 0.2195], [0.1649, 0.8430, 0.8271], [0.6468, 0.1468, 0.5596]], "final_energy_ev_per_atom": -2.09, "e_form_raw_ev_per_atom": -0.216}



# 3
{"formula": "CdTe2I", "functional": "GGA-PBE", "state": "optimized geometry", "cell": [[7.9187, 0.0000, 0.0000], [0.0000, 7.9187, 0.0000], [3.9593, 3.9593, 4.9209]], "species": ["Te", "Cd", "Cd", "Te", "Te", "I", "I", "Te"], "frac_coords": [[0.1641, 0.6250, 0.2500], [0.2500, 0.7500, 0.5000], [0.5000, 0.5000, 0.0000], [0.3750, 0.4141, 0.7500], [0.8750, 0.8359, 0.7500], [0.7500, 0.2500, 0.5000], [0.0000, 0.0000, 0.0000], [0.5859, 0.1250, 0.2500]], "final_energy_ev_per_atom": -2.01, "e_form_raw_ev_per_atom": 0.178}



# 4
{"formula": "Cd2TeI8", "functional": "GGA-PBE", "state": "optimized geometry", "cell": [[-6.8425, -1.4801, 2.2638], [-1.4876, -4.7012, -7.5703], [2.9104, -4.3891, 7.5448]], "species": ["I", "I", "I", "I", "I", "I", "Cd", "I", "Cd", "Te", "I"], "frac_coords": [[0.3854, 0.6654, 0.3307], [0.8242, 0.8356, 0.6712], [0.6146, 0.3346, 0.6693], [0.2552, 0.6930, 0.8572], [0.7448, 0.3070, 0.1428], [0.7448, 0.8358, 0.1428], [0.5665, 0.1667, 0.3335], [0.2552, 0.1642, 0.8572], [0.4335, 0.8333, 0.6665], [0.0000, 0.0000, 0.0000], [0.1758, 0.1644, 0.3288]], "final_energy_ev_per_atom": -1.91, "e_form_raw_ev_per_atom": -0.329}



# 5
{"formula": "CdTeI5", "functional": "GGA-PBE", "state": "optimized geometry", "cell": [[-1.1402, -0.6333, -7.5835], [7.4322, -1.9189, 0.5387], [-4.7279, -9.4008, 5.9775]], "species": ["Te", "I", "I", "I", "Te", "I", "I", "I", "I", "I", "I", "I", "Cd", "Cd"], "frac_coords": [[0.0000, 0.0000, 0.0000], [0.2779, 0.8365, 0.5155], [0.9987, 0.7487, 0.7500], [0.2709, 0.8169, 0.1552], [0.0000, 0.5000, 0.5000], [0.3210, 0.2624, 0.9845], [0.6618, 0.6158, 0.3448], [0.0013, 0.2513, 0.2500], [0.6790, 0.7376, 0.0155], [0.3382, 0.3842, 0.6552], [0.7221, 0.1635, 0.4845], [0.7291, 0.1831, 0.8448], [0.2963, 0.0463, 0.7500], [0.7037, 0.9537, 0.2500]], "final_energy_ev_per_atom": -1.94, "e_form_raw_ev_per_atom": -0.253}



# 6
{"formula": "CdTeI3", "functional": "GGA-PBE", "state": "optimized geometry", "cell": [[6.0648, 0.0000, 0.0000], [0.0000, 6.0648, 0.0000], [0.0000, 0.0000, 6.0648]], "species": ["I", "I", "Cd", "I", "Te"], "frac_coords": [[0.5000, 0.0000, 0.0000], [0.0000, 0.5000, 0.0000], [0.5000, 0.5000, 0.5000], [0.0000, 0.0000, 0.5000], [0.0000, 0.0000, 0.0000]], "final_energy_ev_per_atom": -1.69, "e_form_raw_ev_per_atom": 0.050}



- What is the formula in the third record?
  CdTe2I